# MgCu2Si2, optimized geometry, DFT PBE-GGA
data_MgCu2Si2
_space_group_name_H-M_alt 'P 1'
_space_group_IT_number 1
_cell_length_a 7.441
_cell_length_b 7.441
_cell_length_c 2.679
_cell_angle_alpha 90.00
_cell_angle_beta 90.00
_cell_angle_gamma 90.00
loop_
_space_group_symop_operation_xyz
'x,y,z'
loop_
_atom_site_label
_atom_site_type_symbol
_atom_site_fract_x
_atom_site_fract_y
_atom_site_fract_z
Mg1 Mg 0.000 0.000 0.000
Mg2 Mg 0.500 0.500 0.000
Cu1 Cu 0.161 0.339 0.500
Cu2 Cu 0.339 0.839 0.500
Cu3 Cu 0.661 0.161 0.500
Cu4 Cu 0.839 0.661 0.500
Si1 Si 0.134 0.634 0.000
Si2 Si 0.366 0.134 0.000
Si3 Si 0.634 0.866 0.000
Si4 Si 0.866 0.366 0.000
# calculated total energy: -3.98 eV per atom
# V: 148 Å³/cell
# symmetry: P4/mbm, No. 127